ZnFeTc: PBEsol geometry, SCAN.

As for the formation energy: 0.079 eV per atom.

Lattice parameters (Å, degrees): 2.7189 2.7189 9.9616 90.00 90.00 90.00
Last column: nearest neighbours and their distance in Å.
Space group I4mm (No. 107)
Asymmetric unit:
Zn (0.0000, 0.0000, 0.0000)  4 Fe 2.50, 4 Tc 2.69, 4 Zn 2.72
Fe (0.0000, 0.0000, 0.6608)  4 Tc 2.44, 4 Zn 2.50, 4 Fe 2.72
Tc (0.0000, 0.0000, 0.3117)  4 Fe 2.44, 4 Zn 2.69, 4 Tc 2.72

---

Be2CuAu: PBEsol geometry, SCAN.

As for the formation energy: -0.246 eV per atom.

Lattice parameters (Å, degrees): 3.2117 3.6075 7.7394 90.00 90.00 90.00
Last column: nearest neighbours and their distance in Å.
Space group Imm2 (No. 44)
Asymmetric unit:
Be (0.0000, 0.0000, 0.0000)  2 Cu 2.41, 4 Au 2.42, 4 Be 2.55-2.61
Be (0.0000, 0.5000, 0.2440)  4 Cu 2.42, 4 Au 2.53-2.63, 4 Be 2.55-2.61
Cu (0.0000, 0.5000, 0.7325)  6 Be 2.41-2.42, 4 Au 2.57-2.59
Au (0.0000, 0.0000, 0.4917)  8 Be 2.42-2.63, 4 Cu 2.57-2.59

---

CaSi2PbN: PBEsol geometry, SCAN.

The formation energy without anion corrections comes out at 1.762 eV/atom.

Lattice parameters (Å, degrees): 5.1561 5.1561 6.0722 90.00 90.00 90.00
Last column: nearest neighbours and their distance in Å.
Space group P4/mmm (No. 123)
Asymmetric unit:
Ca (0.0000, 0.0000, 0.0000)  2 Pb 3.04
Si (0.0000, 0.5000, 0.5000)  2 Pb 2.58
Pb (0.0000, 0.0000, 0.5000)  4 Si 2.58
N (0.5000, 0.5000, 0.0000)  4 Ca 3.65, 8 Si 3.98

---

Li2CrIr: PBEsol geometry, SCAN.

The relative energy among the computed polymorphs comes out at 0 meV per atom. As for the formation energy: 0.076 eV per atom.

Lattice parameters (Å, degrees): 2.8886 2.8886 6.7251 90.00 90.00 90.00
Last column: nearest neighbours and their distance in Å.
Space group P4mm (No. 99)
Asymmetric unit:
Li (0.0000, 0.0000, 0.0000)  4 Ir 2.69, 8 Li 2.78-2.89
Li (0.5000, 0.5000, 0.2801)  4 Cr 2.74, 8 Li 2.78-2.89
Cr (0.0000, 0.0000, 0.5521)  4 Ir 2.40
Ir (0.5000, 0.5000, 0.7403)  4 Cr 2.40, 4 Li 2.69

---

CuAgOs2: PBEsol geometry, SCAN.

The relative energy among the computed polymorphs comes out at 261 meV per atom. As for the formation energy: 0.767 eV per atom.

Lattice parameters (Å, degrees): 2.6070 2.6070 8.2877 90.00 90.00 90.00
Last column: nearest neighbours and their distance in Å.
Space group P4/mmm (No. 123)
Asymmetric unit:
Cu (0.0000, 0.0000, 0.0000)  4 Cu 2.61, 8 Os 2.66
Ag (0.0000, 0.0000, 0.5000)  4 Ag 2.61, 8 Os 2.89
Os (0.5000, 0.5000, 0.2310)  4 Os 2.61, 4 Cu 2.66, 4 Ag 2.89

---

AlNi3: PBEsol geometry, SCAN.

As for the formation energy: -0.388 eV per atom.

Lattice parameters (Å, degrees): 5.0806 6.4733 2.6563 90.00 90.00 90.00
Last column: nearest neighbours and their distance in Å.
Space group Cmmm (No. 65)
Asymmetric unit:
Al (0.0000, 0.0000, 0.0000)  10 Ni 2.45-2.54, 2 Al 2.66
Ni (0.0000, 0.5000, 0.0000)  10 Ni 2.45-2.66, 2 Al 2.54
Ni (0.2500, 0.2500, 0.5000)  8 Ni 2.45-2.66, 4 Al 2.45

---

Short version: final energy = -132.93 -188.09 -105.96 -93.96 -187.26 -115.65 eV per cell, in the order given.